A plane-wave DFT calculation with GGA-PBEsol was carried out for a geometry-optimized AsPSeO2 structure.

Calculated values
Space-group type: P4/mmm, No. 123
Magnetization: 0.0 μB/f.u.
Total DFT energy (no corrections): -5.268 eV/atom

Lattice parameters (Å, degrees): 3.5924 3.5924 5.5410 90.00 90.00 90.00
Last column: nearest neighbours and their distance in Å.
Positions (direct):
P1 0.0000 0.0000 0.5000  4 Se 2.54, 2 As 2.77
As1 0.0000 0.0000 0.0000  4 O 1.80
O1 0.0000 0.5000 0.0000  2 As 1.80
O2 0.5000 0.0000 0.0000  2 As 1.80
Se1 0.5000 0.5000 0.5000  4 P 2.54